Entry from Alexandria via LeMat-Bulk: a geometry-optimized Sr2CuBO4 structure (PBE).

Values from the calculation:
The value obtained for the uncorrected formation energy is -1918 meV/atom. The calculated density comes out at 4.70 g/cm3. Its space-group type is Fddd, No. 70.

a b c (Å): 4.807 5.496 9.629
angles (deg): 83.73 75.54 64.07
Atoms (fractional coordinates):
Sr: 0.182 0.000 0.636
Sr: 0.818 0.000 0.364
Sr: 0.568 0.500 0.864
Sr: 0.932 0.500 0.136
Cu: 0.750 0.500 0.500
Cu: 0.000 0.000 0.000
B: 0.250 0.500 0.500
B: 0.500 0.000 0.000
O: 0.372 0.812 0.090
O: 0.274 0.188 0.910
O: 0.816 0.812 0.910
O: 0.538 0.188 0.090
O: 0.378 0.688 0.410
O: 0.476 0.312 0.590
O: 0.934 0.688 0.590
O: 0.212 0.312 0.410

Entry from Alexandria via LeMat-Bulk: a geometry-optimized SrCu2B2O6 structure (PBE).

Values from the calculation:
The value obtained for the uncorrected formation energy is -1899 meV/atom. The calculated density comes out at 3.91 g/cm3. Its space-group type is I4/mcm, No. 140.

a b c (Å): 7.284 7.284 7.284
angles (deg): 102.65 102.65 124.19
Atoms (fractional coordinates):
Sr: 0.250 0.250 0.000
Sr: 0.750 0.750 0.000
Cu: 0.614 0.114 0.728
Cu: 0.386 0.886 0.272
Cu: 0.886 0.614 0.500
Cu: 0.114 0.386 0.500
B: 0.796 0.296 0.092
B: 0.704 0.796 0.500
B: 0.296 0.204 0.500
B: 0.204 0.704 0.908
O: 0.354 0.672 0.026
O: 0.854 0.828 0.682
O: 0.598 0.902 0.500
O: 0.672 0.646 0.318
O: 0.098 0.598 0.696
O: 0.828 0.146 0.974
O: 0.146 0.172 0.318
O: 0.328 0.354 0.682
O: 0.646 0.328 0.974
O: 0.172 0.854 0.026
O: 0.902 0.402 0.304
O: 0.402 0.098 0.500

Entry from Alexandria via LeMat-Bulk: a geometry-optimized Ta2CuBO structure (PBE).

Values from the calculation:
The value obtained for the uncorrected formation energy is 91 meV/atom. The calculated density comes out at 12.15 g/cm3. Its space-group type is P4/mmm, No. 123.

a b c (Å): 4.258 3.408 4.258
angles (deg): 90.00 90.00 90.00
Atoms (fractional coordinates):
B: 0.000 0.500 0.000
O: 0.000 0.000 0.000
Cu: 0.500 0.500 0.500
Ta: 0.000 0.000 0.500
Ta: 0.500 0.000 0.000

Entry from Alexandria via LeMat-Bulk: a geometry-optimized Tb2CuB8O16 structure (PBE).

Values from the calculation:
The value obtained for the uncorrected formation energy is -2529 meV/atom. The calculated density comes out at 4.37 g/cm3. Its space-group type is P2_1/c, No. 14.

a b c (Å): 6.279 8.511 10.296
angles (deg): 90.00 90.10 90.00
Atoms (fractional coordinates):
Tb: 0.499 0.002 0.182
Tb: 0.001 0.502 0.818
Tb: 0.999 0.498 0.182
Tb: 0.501 0.998 0.818
Cu: 0.000 0.500 0.500
Cu: 0.500 0.000 0.500
B: 0.999 0.001 0.194
B: 0.883 0.807 0.377
B: 0.614 0.681 0.000
B: 0.499 0.499 0.194
B: 0.114 0.819 0.000
B: 0.617 0.307 0.623
B: 0.384 0.692 0.621
B: 0.616 0.308 0.379
B: 0.001 0.999 0.806
B: 0.501 0.501 0.806
B: 0.383 0.693 0.377
B: 0.884 0.808 0.621
B: 0.386 0.319 0.000
B: 0.116 0.192 0.379
B: 0.886 0.181 0.000
B: 0.117 0.193 0.623
O: 0.940 0.656 0.639
O: 0.651 0.405 0.730
O: 0.354 0.626 0.499
O: 0.649 0.601 0.883
O: 0.151 0.095 0.730
O: 0.147 0.905 0.114
O: 0.349 0.595 0.270
O: 0.560 0.156 0.361
O: 0.562 0.835 0.002
O: 0.939 0.655 0.360
O: 0.351 0.399 0.117
O: 0.061 0.345 0.640
O: 0.060 0.344 0.361
O: 0.353 0.405 0.886
O: 0.350 0.594 0.728
O: 0.854 0.874 0.499
O: 0.851 0.101 0.117
O: 0.150 0.094 0.272
O: 0.561 0.155 0.640
O: 0.646 0.374 0.501
O: 0.146 0.126 0.501
O: 0.439 0.845 0.360
O: 0.440 0.844 0.639
O: 0.650 0.406 0.272
O: 0.647 0.595 0.114
O: 0.438 0.165 0.998
O: 0.853 0.095 0.886
O: 0.938 0.335 0.998
O: 0.149 0.899 0.883
O: 0.062 0.665 0.002
O: 0.850 0.906 0.728
O: 0.849 0.905 0.270

Entry from Alexandria via LeMat-Bulk: a geometry-optimized TbCuB5O10 structure (PBE).

Values from the calculation:
The value obtained for the uncorrected formation energy is -2391 meV/atom. The calculated density comes out at 4.15 g/cm3. Its space-group type is Ibam, No. 72.

a b c (Å): 8.326 8.326 8.326
angles (deg): 134.79 118.28 79.72
Atoms (fractional coordinates):
Tb: 0.250 0.750 0.500
Tb: 0.750 0.250 0.500
Cu: 0.000 0.500 0.500
Cu: 0.500 0.000 0.500
B: 0.250 0.250 0.000
B: 0.750 0.750 0.000
B: 0.287 0.984 0.075
B: 0.909 0.212 0.925
B: 0.213 0.288 0.697
B: 0.591 0.516 0.303
B: 0.713 0.016 0.925
B: 0.091 0.788 0.075
B: 0.787 0.712 0.303
B: 0.409 0.484 0.697
O: 0.721 0.961 0.053
O: 0.221 0.168 0.759
O: 0.377 0.352 0.730
O: 0.623 0.648 0.270
O: 0.408 0.461 0.241
O: 0.123 0.852 0.975
O: 0.592 0.539 0.759
O: 0.779 0.832 0.241
O: 0.092 0.332 0.053
O: 0.279 0.039 0.947
O: 0.269 0.552 0.601
O: 0.952 0.669 0.399
O: 0.769 0.169 0.717
O: 0.452 0.052 0.283
O: 0.048 0.331 0.601
O: 0.731 0.448 0.399
O: 0.548 0.948 0.717
O: 0.231 0.831 0.283
O: 0.877 0.148 0.025
O: 0.908 0.668 0.947

Entry from Alexandria via LeMat-Bulk: a geometry-optimized Tm2CuB4O10 structure (PBE).

Values from the calculation:
The value obtained for the uncorrected formation energy is -2622 meV/atom. The calculated density comes out at 6.50 g/cm3. Its space-group type is P2_1/c, No. 14.

a b c (Å): 7.240 4.578 9.327
angles (deg): 89.73 90.00 90.00
Atoms (fractional coordinates):
Tm: 0.397 0.003 0.835
Tm: 0.897 0.997 0.665
Tm: 0.103 0.003 0.335
Tm: 0.603 0.997 0.165
Cu: 0.000 0.000 0.000
Cu: 0.500 0.000 0.500
B: 0.269 0.539 0.080
B: 0.769 0.461 0.420
B: 0.731 0.461 0.920
B: 0.231 0.539 0.580
B: 0.598 0.529 0.663
B: 0.098 0.471 0.837
B: 0.902 0.529 0.163
B: 0.402 0.471 0.337
O: 0.164 0.340 0.698
O: 0.664 0.660 0.802
O: 0.110 0.772 0.541
O: 0.610 0.228 0.959
O: 0.890 0.228 0.459
O: 0.390 0.772 0.041
O: 0.910 0.214 0.167
O: 0.410 0.786 0.333
O: 0.090 0.786 0.833
O: 0.590 0.214 0.667
O: 0.089 0.677 0.139
O: 0.589 0.323 0.361
O: 0.911 0.323 0.861
O: 0.411 0.677 0.639
O: 0.777 0.643 0.049
O: 0.277 0.357 0.451
O: 0.223 0.357 0.951
O: 0.723 0.643 0.549
O: 0.836 0.660 0.302
O: 0.336 0.340 0.198

Entry from Alexandria via LeMat-Bulk: a geometry-optimized ZnCu2B2O6 structure (PBE).

Values from the calculation:
The value obtained for the uncorrected formation energy is -1520 meV/atom. The calculated density comes out at 4.26 g/cm3. Its space-group type is P2_1/c, No. 14.

a b c (Å): 14.989 3.441 9.502
angles (deg): 80.79 90.00 90.00
Atoms (fractional coordinates):
Zn: 0.139 0.234 0.858
Zn: 0.861 0.766 0.142
Zn: 0.639 0.766 0.642
Zn: 0.361 0.234 0.358
Cu: 0.261 0.860 0.629
Cu: 0.739 0.140 0.371
Cu: 0.761 0.140 0.871
Cu: 0.239 0.860 0.129
Cu: 0.044 0.795 0.635
Cu: 0.956 0.205 0.365
Cu: 0.544 0.205 0.865
Cu: 0.456 0.795 0.135
B: 0.422 0.684 0.670
B: 0.578 0.316 0.330
B: 0.922 0.316 0.830
B: 0.078 0.684 0.170
B: 0.848 0.693 0.597
B: 0.152 0.307 0.403
B: 0.348 0.307 0.903
B: 0.652 0.693 0.097
O: 0.008 0.388 0.793
O: 0.992 0.612 0.207
O: 0.508 0.612 0.707
O: 0.492 0.388 0.293
O: 0.386 0.906 0.553
O: 0.614 0.094 0.447
O: 0.886 0.094 0.947
O: 0.114 0.906 0.053
O: 0.927 0.824 0.536
O: 0.073 0.176 0.464
O: 0.427 0.176 0.964
O: 0.573 0.824 0.036
O: 0.155 0.789 0.739
O: 0.845 0.211 0.261
O: 0.655 0.211 0.761
O: 0.345 0.789 0.239
O: 0.766 0.764 0.538
O: 0.234 0.236 0.462
O: 0.266 0.236 0.962
O: 0.734 0.764 0.038
O: 0.350 0.535 0.765
O: 0.650 0.465 0.235
O: 0.850 0.465 0.735
O: 0.150 0.535 0.265

Entry from Alexandria via LeMat-Bulk: a geometry-optimized Cu2BOs structure (PBE).

Values from the calculation:
The value obtained for the calculated formation energy is 0.605 eV/atom. The calculated density comes out at 11.46 g/cm3. Its space-group type is I-42d, No. 122.

a b c (Å): 3.186 3.186 9.634
angles (deg): 80.48 80.48 90.00
Atoms (fractional coordinates):
B: 0.500 0.500 0.000
B: 0.250 0.750 0.500
Os: 0.000 0.000 0.000
Os: 0.750 0.250 0.500
Cu: 0.622 0.125 0.250
Cu: 0.128 0.625 0.250
Cu: 0.375 0.378 0.750
Cu: 0.875 0.872 0.750

Which of these has the lowest calculated density? SrCu2B2O6